# 1
YSb3 after structural relaxation. Source: Alexandria, functional PBE-GGA.

Cell: 4.1460 4.1460 6.3744 Å, 90.00 90.00 90.00°
Closest atoms and distances in Å follow each position.
Element x y z (fractional)
Sb  0.0000  0.0000  0.9884  6 Sb 3.04-3.37, 4 Y 3.30
Sb  0.5000  0.5000  0.2500  2 Y 3.19, 8 Sb 3.37
Sb  0.0000  0.0000  0.5116  6 Sb 3.04-3.37, 4 Y 3.30
Y  0.5000  0.5000  0.7500  10 Sb 3.19-3.30

Computed properties:
The calculation puts the density of states at the Fermi level at 2.3 states/eV/f.u. The volume is 110 Å³ per cell. Its space-group type is P4/mmm (123). The value obtained for the spin magnetization is 0.0 μB per formula unit. The energy relative to the lowest polymorph listed for this composition is 2.46 kcal/mol of atoms.

# 2
YSb6 after structural relaxation. Source: Alexandria, functional PBE-GGA.

Cell: 7.2049 7.2049 7.2049 Å, 109.47 109.47 109.47°
Closest atoms and distances in Å follow each position.
Element x y z (fractional)
Y  0.0000  0.0000  0.0000  24 Sb 4.65
Sb  0.2500  0.7500  0.5000  4 Sb 2.94
Sb  0.5000  0.7500  0.2500  4 Sb 2.94
Sb  0.2500  0.5000  0.7500  4 Sb 2.94
Sb  0.7500  0.2500  0.5000  4 Sb 2.94
Sb  0.5000  0.2500  0.7500  4 Sb 2.94
Sb  0.7500  0.5000  0.2500  4 Sb 2.94

Computed properties:
The calculation puts the density of states at the Fermi level at 8.6 states/eV/f.u. The volume is 288 Å³ per cell. Its space-group type is Im-3m (229). The value obtained for the spin magnetization is 0.9 μB per formula unit.

Respective raw formation energy values: -0.3944; 0.5765 eV/atom.